Entry 1:
An optimized crystal structure of CaZnSeN2, computed with GGA-PBEsol.

Results
Crystal system   tetragonal
N(E_F)   2.7 states/eV/cell
Formation energy without anion corrections   893 meV per atom

a = 4.1686 Å, b = 4.1686 Å, c = 4.4528 Å
α = 90.00°, β = 90.00°, γ = 90.00°
Positions (direct):
Ca 0.5000 0.5000 0.5000
N 0.0000 0.5000 0.0000
N 0.5000 0.0000 0.0000
Zn 0.0000 0.0000 0.5000
Se 0.0000 0.0000 0.0000

***

Entry 2:
An optimized crystal structure of Sc2BeNb, computed with GGA-PBEsol.

Results
Crystal system   trigonal
DFT formation energy   525 meV per atom
N(E_F)   6.5 states/eV/cell

a = 2.9696 Å, b = 2.9696 Å, c = 9.8810 Å
α = 81.36°, β = 81.36°, γ = 60.00°
Positions (direct):
Sc 0.0974 0.0974 0.7077
Sc 0.9026 0.9026 0.2923
Be 0.5000 0.5000 0.5000
Nb 0.0000 0.0000 0.0000

***

no.,E_tot (eV/atom)
1,-4.031
2,-6.483